DFT (PBE-GGA) results for a geometry-optimized TbThSbTe structure.

Cell and atoms, written as POSCAR:
```
TbThSbTe
1.0
5.411 0.000 0.000
2.705 4.686 0.000
2.705 1.562 4.418
Sb Te Tb Th
1 1 1 1
direct
0.000 0.000 0.000 Sb
0.500 0.500 0.500 Te
0.750 0.750 0.750 Tb
0.250 0.250 0.250 Th
```

Computed properties:
Energy relative to the elements, uncorrected ... -0.99 eV/atom
ΔE to the lowest computed polymorph ... 0.1019 eV/atom
Symmetry ... F-43m (216)

DFT (PBE-GGA) results for a geometry-optimized Tb2ThSb2Te2 structure.

Cell and atoms, written as POSCAR:
```
Tb2ThSb2Te2
1.0
5.982 0.000 0.000
0.000 5.982 0.000
-2.991 -2.991 7.588
Tb Th Sb Te
2 1 2 2
direct
0.389 0.389 0.778 Tb
0.611 0.611 0.222 Tb
0.000 0.000 0.000 Th
0.000 0.500 0.000 Sb
0.500 0.000 0.000 Sb
0.202 0.202 0.404 Te
0.798 0.798 0.596 Te
```

Computed properties:
Energy relative to the elements, uncorrected ... -0.63 eV/atom
Symmetry ... I4/mmm (139)

DFT (PBE-GGA) results for a geometry-optimized Tb6Tl2SbTe3 structure.

Cell and atoms, written as POSCAR:
```
Tb6Tl2SbTe3
1.0
-1.899 0.726 3.793
7.830 -1.419 4.191
0.517 9.144 -3.931
Tb Tl Sb Te
6 2 1 3
direct
0.334 0.905 0.669 Tb
0.664 0.594 0.328 Tb
0.666 0.095 0.331 Tb
0.005 0.246 0.009 Tb
0.995 0.754 0.991 Tb
0.336 0.406 0.672 Tb
0.828 0.650 0.657 Tl
0.172 0.350 0.343 Tl
0.500 0.000 0.000 Sb
0.500 0.500 0.000 Te
0.836 0.157 0.672 Te
0.164 0.843 0.328 Te
```

Computed properties:
Energy relative to the elements, uncorrected ... -0.97 eV/atom
Symmetry ... C2/m (12)

DFT (PBE-GGA) results for a geometry-optimized TbTl3Sb2Te6 structure.

Cell and atoms, written as POSCAR:
```
TbTl3Sb2Te6
1.0
-6.921 -1.560 3.207
1.567 -2.408 -7.236
4.687 -5.559 4.261
Tb Tl Sb Te
1 3 2 6
direct
0.000 0.000 0.000 Tb
0.165 0.835 0.500 Tl
0.835 0.165 0.500 Tl
0.500 0.500 0.500 Tl
0.334 0.666 0.000 Sb
0.666 0.334 0.000 Sb
0.928 0.593 0.785 Te
0.736 0.736 0.212 Te
0.072 0.407 0.215 Te
0.593 0.928 0.785 Te
0.264 0.264 0.788 Te
0.407 0.072 0.215 Te
```

Computed properties:
Energy relative to the elements, uncorrected ... -0.50 eV/atom
Symmetry ... C2/m (12)

DFT (PBE-GGA) results for a geometry-optimized Tb4TlSbTe2 structure.

Cell and atoms, written as POSCAR:
```
Tb4TlSbTe2
1.0
-0.765 -0.917 -4.154
7.552 -0.324 -1.319
2.387 -7.199 1.150
Tb Tl Sb Te
4 1 1 2
direct
0.000 0.743 0.752 Tb
0.000 0.257 0.248 Tb
0.500 0.738 0.251 Tb
0.500 0.262 0.749 Tb
0.500 0.500 0.000 Tl
0.000 0.500 0.500 Sb
0.000 0.000 0.000 Te
0.500 0.000 0.500 Te
```

Computed properties:
Energy relative to the elements, uncorrected ... -1.05 eV/atom
Symmetry ... P2/m (10)

DFT (PBE-GGA) results for a geometry-optimized TbTmSbTe structure.

Cell and atoms, written as POSCAR:
```
TbTmSbTe
1.0
4.271 0.000 0.000
-2.135 3.700 0.000
-2.135 -1.233 7.493
Tb Tm Sb Te
1 1 1 1
direct
0.480 0.138 0.634 Tb
0.124 0.960 0.100 Tm
0.309 0.552 0.877 Sb
0.964 0.380 0.359 Te
```

Computed properties:
Energy relative to the elements, uncorrected ... -1.18 eV/atom
Symmetry ... R3m (160)

no.,uncorrected energy (eV/atom)
1,-5.8217
2,-5.0834
3,-4.8067
4,-3.7366
5,-4.9593
6,-5.2763